No. 1
Below is a relaxed structure of Pu2NpSb, with properties calculated at the PBE level.

magnetic moment = 17.3 μB per formula unit
crystal system = cubic
ΔE_f (raw) = 0.030 eV/atom

Lattice parameters (Å, degrees): 7.459 7.459 7.459 90.00 90.00 90.00
Positions (direct):
Pu 0.250 0.250 0.250
Pu 0.250 0.250 0.750
Pu 0.250 0.750 0.250
Pu 0.250 0.750 0.750
Pu 0.750 0.250 0.250
Pu 0.750 0.250 0.750
Pu 0.750 0.750 0.250
Pu 0.750 0.750 0.750
Np 0.000 0.000 0.000
Np 0.000 0.500 0.500
Np 0.500 0.000 0.500
Np 0.500 0.500 0.000
Sb 0.000 0.000 0.500
Sb 0.000 0.500 0.000
Sb 0.500 0.000 0.000
Sb 0.500 0.500 0.500

No. 2
Below is a relaxed structure of PuNpSc2Sb4, with properties calculated at the PBE level.

magnetic moment = 9.0 μB per formula unit
crystal system = monoclinic
ΔE_f (raw) = -0.664 eV/atom

Lattice parameters (Å, degrees): 7.409 4.289 7.434 90.00 109.49 90.00
Positions (direct):
Pu 0.000 0.000 0.000
Np 0.000 0.500 0.500
Sc 0.500 0.000 0.500
Sc 0.500 0.500 0.000
Sb 0.266 0.000 0.754
Sb 0.266 0.500 0.256
Sb 0.734 0.000 0.246
Sb 0.734 0.500 0.744

No. 3
Below is a relaxed structure of Pu2NpScSb4, with properties calculated at the PBE level.

magnetic moment = 3.8 μB per formula unit
crystal system = monoclinic
ΔE_f (raw) = -0.549 eV/atom

Lattice parameters (Å, degrees): 7.530 4.361 7.530 90.00 109.43 90.00
Positions (direct):
Pu 0.000 0.000 0.000
Pu 0.500 0.500 0.000
Np 0.000 0.500 0.500
Sc 0.500 0.000 0.500
Sb 0.256 0.000 0.742
Sb 0.260 0.500 0.263
Sb 0.740 0.500 0.737
Sb 0.744 0.000 0.258

Calculated density (g/cm³)
13.6; 7.9; 9.0
Density of states at the Fermi level (states/eV per atom)
4.156; 2.867; 4.979